Density functional theory data (GGA+U) for a geometry-optimized NiSb3F structure.

abc: 4.8918 4.8918 4.8918
angles: 90.00 90.00 90.00
Fractional positions:
Ni  0.0000  0.0000  0.0000
F  0.5000  0.5000  0.5000
Sb  0.5000  0.0000  0.0000
Sb  0.0000  0.0000  0.5000
Sb  0.0000  0.5000  0.0000

Properties
**Size of the total moment**: 0.00 μB per cell
**Polymorph energy (0 for the lowest one)**: 0 meV/atom
**DFT total energy**: -3.1454 eV per atom
**D(E_F)**: 3.23 states/eV per cell